Th2NiBr: optimized geometry, GGA-PBE.

Geometry as CIF:
```
data_Th2NiBr
_chemical_formula_sum 'Th2 Ni1 Br1'
_symmetry_space_group_name_H-M 'P 1'
_symmetry_Int_Tables_number 1
_cell_length_a 7.6191
_cell_length_b 7.6191
_cell_length_c 7.6191
_cell_angle_alpha 31.95
_cell_angle_beta 31.95
_cell_angle_gamma 31.95
loop_
_symmetry_equiv_pos_as_xyz
'x,y,z'
loop_
_atom_site_label
_atom_site_type_symbol
_atom_site_fract_x
_atom_site_fract_y
_atom_site_fract_z
_atom_site_occupancy
Th1 Th 0.2309 0.2309 0.2309 1
Th2 Th 0.7691 0.7691 0.7691 1
Ni1 Ni 0.5000 0.5000 0.5000 1
Br1 Br 0.0000 0.0000 0.0000 1
```

Magnetic moment (μB per formula unit): 0.00
Energy (eV/atom): -6.196
Calculated density (g/cm3): 9.093
Raw formation energy (eV per formula unit): -2.49